A plane-wave DFT calculation with PBE was carried out for LiPmCuRu after structural relaxation.

POSCAR file:
```
LiPmCuRu
1.0
0.000 3.273 3.273
3.273 0.000 3.273
3.273 3.273 0.000
Li Pm Cu Ru
1 1 1 1
Cartesian
0.000 0.000 0.000
4.910 4.910 4.910
1.637 1.637 1.637
3.273 3.273 3.273
```

* space-group type: No. 216
* total DFT energy (no corrections): -19.52 eV per cell
* DOS at the Fermi energy: 3.47 states/eV/f.u.
* density: 7.5 g/cm3
* energy relative to the elements: 0.52 eV/f.u.
* calculated volume: 70 Å³/f.u.